Entry 1:
Material: SrLiP2O
Method: DFT, GGA-PBE
State: relaxed

Values from the calculation:
* formation energy without anion corrections: -0.1974 eV per atom

Structure (extended XYZ):
```
5
Lattice="4.289 0.000 0.000 0.000 4.289 0.000 0.000 0.000 4.840" Properties=species:S:1:pos:R:3 pbc="T T T"
Sr 0.000 0.000 0.000
Li 2.144 2.144 2.420
P 0.000 2.144 2.420
P 2.144 0.000 2.420
O 2.144 2.144 0.000
```



Entry 2:
Material: BSb2PbI
Method: DFT, GGA-PBE
State: relaxed

Values from the calculation:
* formation energy without anion corrections: 0.6843 eV per atom

Structure (extended XYZ):
```
5
Lattice="4.995 0.000 0.000 0.000 4.995 0.000 0.000 0.000 5.217" Properties=species:S:1:pos:R:3 pbc="T T T"
B 0.000 0.000 0.000
Sb 0.000 2.498 0.000
Sb 2.498 0.000 0.000
Pb 2.498 2.498 2.608
I 0.000 0.000 2.608
```



Entry 3:
Material: SbTe
Method: DFT, GGA-PBE
State: relaxed

Values from the calculation:
* formation energy without anion corrections: 0.0927 eV per atom

Structure (extended XYZ):
```
4
Lattice="3.564 -2.134 0.000 3.564 2.134 0.000 -2.482 0.000 8.234" Properties=species:S:1:pos:R:3 pbc="T T T"
Sb 0.019 0.000 3.063
Sb 4.626 0.000 5.171
Te -0.083 0.000 7.131
Te 4.728 0.000 1.103
```



Entry 4:
Material: Sm3Zn8Pd3
Method: DFT, GGA-PBE
State: relaxed

Values from the calculation:
* calculated formation energy: -0.51 eV/atom

Structure (extended XYZ):
```
14
Lattice="-2.122 4.683 6.547 2.122 -4.683 6.547 2.122 4.683 -6.547" Properties=species:S:1:pos:R:3 pbc="T T T"
Sm 0.000 0.000 0.000
Sm 0.000 0.000 4.246
Sm 0.000 0.000 8.848
Zn 2.122 -1.288 2.340
Zn 2.122 -2.095 4.913
Zn 2.122 1.288 2.340
Zn 0.000 2.588 1.634
Zn 2.122 2.095 4.913
Zn 0.000 3.395 4.208
Zn 0.000 6.777 1.634
Zn 0.000 5.970 4.208
Pd 2.122 2.525 0.000
Pd 0.000 4.683 0.000
Pd 0.000 2.157 6.547
```



Entry 5:
Material: PmDy2Sc
Method: DFT, GGA-PBE
State: relaxed

Values from the calculation:
* calculated formation energy: 0.04 eV/atom

Structure (extended XYZ):
```
4
Lattice="1.765 1.019 11.278 -1.765 1.019 11.278 0.000 -2.039 11.278" Properties=species:S:1:pos:R:3 pbc="T T T"
Pm 0.000 0.000 0.000
Dy 0.000 0.000 19.593
Dy 0.000 0.000 25.503
Sc 0.000 0.000 5.619
```



Entry 6:
Material: MnPb2Br
Method: DFT, GGA-PBE
State: relaxed

Values from the calculation:
* formation energy without anion corrections: 0.6535 eV per atom

Structure (extended XYZ):
```
8
Lattice="-3.231 3.231 6.607 3.231 -3.231 6.607 3.231 3.231 -6.607" Properties=species:S:1:pos:R:3 pbc="T T T"
Mn 0.000 0.000 0.000
Mn 0.000 3.231 3.303
Pb 4.847 1.025 -1.652
Pb 1.025 1.616 1.652
Pb -1.616 2.206 4.955
Pb 2.206 1.616 8.259
Br 3.231 0.000 3.303
Br 0.000 0.000 6.607
```



Entry 7:
Material: LaCe2Pb
Method: DFT, GGA-PBE
State: relaxed

Values from the calculation:
* calculated formation energy: -0.19 eV/atom

Structure (extended XYZ):
```
4
Lattice="4.264 0.000 0.000 0.000 4.264 0.000 0.000 0.000 7.010" Properties=species:S:1:pos:R:3 pbc="T T T"
La 0.000 0.000 0.000
Ce 2.132 2.132 2.098
Ce 2.132 2.132 4.912
Pb 0.000 0.000 3.505
```



Entry 8:
Material: BeCrSi2P
Method: DFT, GGA-PBE
State: relaxed

Values from the calculation:
* formation energy without anion corrections: 0.7958 eV per atom

Structure (extended XYZ):
```
5
Lattice="4.281 0.000 0.000 0.000 4.281 0.000 0.000 0.000 4.239" Properties=species:S:1:pos:R:3 pbc="T T T"
Be 0.000 0.000 0.000
Cr 2.141 2.141 2.119
Si 0.000 2.141 0.000
Si 2.141 0.000 0.000
P 0.000 0.000 2.119
```



Repeat the seventh record exactly.
Material: LaCe2Pb
Method: DFT, GGA-PBE
State: relaxed

Values from the calculation:
* calculated formation energy: -0.19 eV/atom

Structure (extended XYZ):
```
4
Lattice="4.264 0.000 0.000 0.000 4.264 0.000 0.000 0.000 7.010" Properties=species:S:1:pos:R:3 pbc="T T T"
La 0.000 0.000 0.000
Ce 2.132 2.132 2.098
Ce 2.132 2.132 4.912
Pb 0.000 0.000 3.505
```